(1)
Material: TaTeIr2
Method: DFT, PBE
State: optimized geometry

- total DFT energy (no corrections) (eV per atom) = -8.02
- total magnetic moment (μB per cell) = 0.0
- E_form (uncorrected) (eV per atom) = 0.16

a b c (Å): 3.0199 3.7177 6.3287
angles (deg): 90.00 90.00 90.00
Space group Pmm2 (No. 25)
Inequivalent atoms, fractional coordinates:
Ta (0.0000, 0.0000, 0.0000)
Te (0.5000, 0.5000, 0.3247)
Ir (0.0000, 0.0000, 0.5578)
Ir (0.5000, 0.5000, 0.7996)

(2)
Material: TaTe2Ir
Method: DFT, PBE
State: optimized geometry

- total DFT energy (no corrections) (eV per atom) = -6.17
- total magnetic moment (μB per cell) = 0.0
- E_form (uncorrected) (eV per atom) = 0.58

a b c (Å): 6.1328 9.2583 3.3146
angles (deg): 90.00 119.26 90.00
Space group C2/m (No. 12)
Inequivalent atoms, fractional coordinates:
Ta (0.0000, 0.0000, 0.0000)
Te (0.2500, 0.2500, 0.5000)
Ir (0.0000, 0.5000, 0.0000)

(3)
Material: TaTe2Ir
Method: DFT, PBE
State: optimized geometry

- total DFT energy (no corrections) (eV per atom) = -6.12
- total magnetic moment (μB per cell) = 0.0
- E_form (uncorrected) (eV per atom) = 0.63

a b c (Å): 3.2491 4.6657 5.4066
angles (deg): 90.00 90.00 90.00
Space group Pmmm (No. 47)
Inequivalent atoms, fractional coordinates:
Ta (0.0000, 0.0000, 0.0000)
Te (0.0000, 0.5000, 0.5000)
Te (0.5000, 0.5000, 0.0000)
Ir (0.5000, 0.0000, 0.5000)

(4)
Material: TaTeIr2
Method: DFT, PBE
State: optimized geometry

- total DFT energy (no corrections) (eV per atom) = -8.23
- total magnetic moment (μB per cell) = 0.0
- E_form (uncorrected) (eV per atom) = -0.05

a b c (Å): 3.0840 3.8742 5.8420
angles (deg): 90.00 90.00 90.00
Space group Pmmm (No. 47)
Inequivalent atoms, fractional coordinates:
Ta (0.0000, 0.0000, 0.0000)
Te (0.0000, 0.0000, 0.5000)
Ir (0.5000, 0.5000, 0.2303)

(5)
Material: TaTeIr3
Method: DFT, PBE
State: optimized geometry

- total DFT energy (no corrections) (eV per atom) = -6.49
- total magnetic moment (μB per cell) = 0.0
- E_form (uncorrected) (eV per atom) = 1.82

a b c (Å): 4.7702 4.7702 4.7702
angles (deg): 90.00 90.00 90.00
Space group Pm-3m (No. 221)
Inequivalent atoms, fractional coordinates:
Ta (0.0000, 0.0000, 0.0000)
Te (0.5000, 0.5000, 0.5000)
Ir (0.0000, 0.5000, 0.5000)

(6)
Material: Ta2TeIr
Method: DFT, PBE
State: optimized geometry

- total DFT energy (no corrections) (eV per atom) = -8.87
- total magnetic moment (μB per cell) = 0.0
- E_form (uncorrected) (eV per atom) = 0.05

a b c (Å): 2.9970 4.2472 5.8039
angles (deg): 90.00 101.80 90.00
Space group P2/m (No. 10)
Inequivalent atoms, fractional coordinates:
Ta (0.0153, 0.0000, 0.2364)
Te (0.5000, 0.5000, 0.5000)
Ir (0.5000, 0.5000, 0.0000)